Li2Sc2Al2NiAu, optimized geometry, DFT GGA-PBE; V = 125 Å³/cell; space-group type = P-4m2 (115); total DFT energy (no corrections) = -37.2 eV/cell; M_tot = 0.0006 μB/atom
1.0
4.4354 0.0000 0.0000
0.0000 4.4354 0.0000
0.0000 0.0000 6.3580
Li Sc Al Ni Au
2 2 2 1 1
Direct
0.0000 0.0000 0.0000
0.5000 0.5000 0.5000
0.0000 0.5000 0.2316
0.5000 0.0000 0.7684
0.0000 0.5000 0.7632
0.5000 0.0000 0.2368
0.5000 0.5000 0.0000
0.0000 0.0000 0.5000

TaBiN2O, optimized geometry, DFT GGA-PBE; V = 69 Å³/cell; space-group type = Pm (6); total DFT energy (no corrections) = -41.3 eV/cell; M_tot = 0.0000 μB/atom
1.0
4.2135 0.0000 0.0000
0.0000 3.8507 0.0000
-0.1392 0.0000 4.2389
Ta Bi N O
1 1 2 1
Direct
0.0000 0.0000 0.0000
0.4557 0.5000 0.5451
0.0673 0.0000 0.4548
0.5403 0.0000 0.9250
0.0714 0.5000 0.9243

TbY2Sn5Pb2, optimized geometry, DFT GGA-PBE; energy above the most stable polymorph in this dataset = 2 meV/atom; V = 269 Å³/cell; space-group type = Cmmm (65); total DFT energy (no corrections) = -49.9 eV/cell; M_tot = 0.0003 μB/atom
1.0
2.2430 -13.3392 0.0000
2.2430 13.3392 0.0000
0.0000 0.0000 4.4911
Tb Y Sn Pb
1 2 5 2
Direct
0.0000 0.0000 0.0000
0.3092 0.6908 0.5000
0.6908 0.3092 0.5000
0.2116 0.7884 0.0000
0.4036 0.5964 0.0000
0.5000 0.5000 0.5000
0.5964 0.4036 0.0000
0.7884 0.2116 0.0000
0.0968 0.9032 0.5000
0.9032 0.0968 0.5000

> What is the formula in the third record?

TbY2Sn5Pb2

> Which value of V does entry 2 give?

69 Å³/cell

> Which value of M_tot does entry 3 give?

0.0003 μB/atom

> M_tot of number 3 (TbY2Sn5Pb2)?

0.0003 μB/atom